Model w:
The following is a PBE calculation of ScCuSiAu after structural relaxation, from OQMD via LeMat-Bulk.

Unit cell a=6.3688 b=6.3688 c=6.3688 alpha=90.00 beta=90.00 gamma=90.00
With the nearest neighbours (Å) after each atom.
Atoms (fractional coordinates):
Sc (0.0000, 0.0000, 0.0000)  4 Cu 2.76, 4 Au 2.76
Sc (0.0000, 0.5000, 0.5000)  4 Cu 2.76, 4 Au 2.76
Sc (0.5000, 0.0000, 0.5000)  4 Cu 2.76, 4 Au 2.76
Sc (0.5000, 0.5000, 0.0000)  4 Cu 2.76, 4 Au 2.76
Cu (0.2500, 0.2500, 0.7500)  4 Sc 2.76, 4 Si 2.76
Cu (0.2500, 0.7500, 0.2500)  4 Sc 2.76, 4 Si 2.76
Cu (0.7500, 0.2500, 0.2500)  4 Sc 2.76, 4 Si 2.76
Cu (0.7500, 0.7500, 0.7500)  4 Sc 2.76, 4 Si 2.76
Si (0.0000, 0.0000, 0.5000)  4 Cu 2.76, 4 Au 2.76
Si (0.0000, 0.5000, 0.0000)  4 Cu 2.76, 4 Au 2.76
Si (0.5000, 0.0000, 0.0000)  4 Cu 2.76, 4 Au 2.76
Si (0.5000, 0.5000, 0.5000)  4 Cu 2.76, 4 Au 2.76
Au (0.2500, 0.2500, 0.2500)  4 Sc 2.76, 4 Si 2.76
Au (0.2500, 0.7500, 0.7500)  4 Sc 2.76, 4 Si 2.76
Au (0.7500, 0.2500, 0.7500)  4 Sc 2.76, 4 Si 2.76
Au (0.7500, 0.7500, 0.2500)  4 Sc 2.76, 4 Si 2.76

Values from the calculation:
V ... 16.1 A^3/atom
Crystal system ... cubic

Model x:
The following is a PBE calculation of ScCuSiAu after structural relaxation, from OQMD via LeMat-Bulk.

Unit cell a=6.3872 b=6.3872 c=6.3872 alpha=90.00 beta=90.00 gamma=90.00
With the nearest neighbours (Å) after each atom.
Atoms (fractional coordinates):
Sc (0.0000, 0.0000, 0.0000)  4 Si 2.77, 4 Au 2.77
Sc (0.0000, 0.5000, 0.5000)  4 Si 2.77, 4 Au 2.77
Sc (0.5000, 0.0000, 0.5000)  4 Si 2.77, 4 Au 2.77
Sc (0.5000, 0.5000, 0.0000)  4 Si 2.77, 4 Au 2.77
Cu (0.0000, 0.0000, 0.5000)  4 Si 2.77, 4 Au 2.77
Cu (0.0000, 0.5000, 0.0000)  4 Au 2.77, 4 Si 2.77
Cu (0.5000, 0.0000, 0.0000)  4 Au 2.77, 4 Si 2.77
Cu (0.5000, 0.5000, 0.5000)  4 Si 2.77, 4 Au 2.77
Si (0.2500, 0.2500, 0.2500)  4 Sc 2.77, 4 Cu 2.77
Si (0.2500, 0.7500, 0.7500)  4 Sc 2.77, 4 Cu 2.77
Si (0.7500, 0.2500, 0.7500)  4 Sc 2.77, 4 Cu 2.77
Si (0.7500, 0.7500, 0.2500)  4 Sc 2.77, 4 Cu 2.77
Au (0.2500, 0.2500, 0.7500)  4 Sc 2.77, 4 Cu 2.77
Au (0.2500, 0.7500, 0.2500)  4 Sc 2.77, 4 Cu 2.77
Au (0.7500, 0.2500, 0.2500)  4 Sc 2.77, 4 Cu 2.77
Au (0.7500, 0.7500, 0.7500)  4 Cu 2.77, 4 Sc 2.77

Values from the calculation:
V ... 16.3 A^3/atom
Crystal system ... cubic

model x is the most stable structure; the next one sits 0.008 eV/atom above it.